Below is a relaxed structure of InRu3Br, with properties calculated at the GGA-PBE level.

- Excess energy over the best structure of this formula in the dataset: 3.74 eV per formula unit
- Total energy: -4.4205 eV/atom
- M_tot: 6.2 Bohr magnetons per cell

Unit cell a=5.014 b=5.014 c=5.014 alpha=90.00 beta=90.00 gamma=90.00
Element x y z (fractional)
Ru (0.000, 0.000, 0.500)
Br (0.500, 0.500, 0.500)
Ru (0.000, 0.500, 0.000)
In (0.000, 0.000, 0.000)
Ru (0.500, 0.000, 0.000)